No. 1
The following is a meta-GGA SCAN calculation of a PBEsol-optimized structure of BeRu, from the Alexandria database.

Cell lengths 3.966, 3.966, 3.966 Å; angles 39.06, 39.06, 39.06 degrees
Fractional positions:
Be 0.000 0.000 0.000
Ru 0.500 0.500 0.500

Calculated values
ΔE_f: -0.104 eV per atom
total DFT energy (no corrections): -19.69 eV/atom
ρ: 8.20 g cm⁻³

***

No. 2
The following is a meta-GGA SCAN calculation of a PBEsol-optimized structure of Tl5Sb, from the Alexandria database.

Cell lengths 3.449, 3.449, 14.189 Å; angles 90.00, 90.00, 90.00 degrees
Fractional positions:
Tl 0.000 0.000 0.000
Tl 0.000 0.000 0.338
Tl 0.000 0.000 0.662
Tl 0.500 0.500 0.165
Tl 0.500 0.500 0.835
Sb 0.500 0.500 0.500

Calculated values
formation energy without anion corrections: 25 meV per atom
total DFT energy (no corrections): -66.48 eV/atom
ρ: 11.25 g cm⁻³

***

No. 3
The following is a meta-GGA SCAN calculation of a PBEsol-optimized structure of ScAlPb2, from the Alexandria database.

Cell lengths 5.838, 5.838, 5.838 Å; angles 136.99, 136.68, 62.69 degrees
Fractional positions:
Sc 0.000 0.000 0.000
Al 0.249 0.749 0.500
Pb 0.499 0.499 0.000
Pb 0.750 0.250 0.500

Calculated values
ΔE_f: -0.214 eV per atom
total DFT energy (no corrections): -43.60 eV/atom
ρ: 8.78 g cm⁻³

***

No. 4
The following is a meta-GGA SCAN calculation of a PBEsol-optimized structure of AlIBr2F, from the Alexandria database.

Cell lengths 5.854, 5.854, 3.524 Å; angles 90.00, 90.00, 90.00 degrees
Fractional positions:
Al 0.000 0.000 0.000
I 0.500 0.500 0.000
Br 0.000 0.500 0.500
Br 0.500 0.000 0.500
F 0.000 0.000 0.500

Calculated values
formation energy without anion corrections: -443 meV per atom
total DFT energy (no corrections): -17.83 eV/atom
ρ: 4.57 g cm⁻³

***

No. 5
The following is a meta-GGA SCAN calculation of a PBEsol-optimized structure of MgScTcSe2, from the Alexandria database.

Cell lengths 4.807, 4.807, 4.756 Å; angles 90.00, 90.00, 90.00 degrees
Fractional positions:
Mg 0.000 0.000 0.000
Sc 0.500 0.500 0.000
Tc 0.000 0.000 0.500
Se 0.000 0.500 0.500
Se 0.500 0.000 0.500

Calculated values
formation energy without anion corrections: 152 meV per atom
total DFT energy (no corrections): -18.73 eV/atom
ρ: 4.91 g cm⁻³

***

No. 6
The following is a meta-GGA SCAN calculation of a PBEsol-optimized structure of Co2TcSe, from the Alexandria database.

Cell lengths 2.926, 2.926, 5.868 Å; angles 90.00, 90.00, 90.00 degrees
Fractional positions:
Co 0.000 0.000 0.000
Co 0.500 0.500 0.231
Tc 0.500 0.500 0.744
Se 0.000 0.000 0.478

Calculated values
formation energy without anion corrections: 240 meV per atom
total DFT energy (no corrections): -22.20 eV/atom
ρ: 9.74 g cm⁻³

***

No. 7
The following is a meta-GGA SCAN calculation of a PBEsol-optimized structure of Ta2TeRh, from the Alexandria database.

Cell lengths 5.246, 5.246, 5.246 Å; angles 139.50, 132.54, 64.12 degrees
Fractional positions:
Ta 0.250 0.250 0.000
Ta 0.750 0.750 0.000
Te 0.500 0.000 0.500
Rh 0.000 0.500 0.500

Calculated values
formation energy without anion corrections: -113 meV per atom
total DFT energy (no corrections): -51.16 eV/atom
ρ: 14.43 g cm⁻³

***

No. 8
The following is a meta-GGA SCAN calculation of a PBEsol-optimized structure of Na2ZnS2, from the Alexandria database.

Cell lengths 7.029, 7.029, 7.029 Å; angles 126.20, 75.71, 131.02 degrees
Fractional positions:
Na 0.142 0.153 0.295
Na 0.358 0.653 0.011
Na 0.642 0.347 0.989
Na 0.858 0.847 0.705
Zn 0.250 0.750 0.500
Zn 0.750 0.250 0.500
S 0.112 0.713 0.825
S 0.388 0.213 0.601
S 0.612 0.787 0.399
S 0.888 0.287 0.175

Calculated values
formation energy without anion corrections: -1152 meV per atom
total DFT energy (no corrections): -9.39 eV/atom
ρ: 2.83 g cm⁻³

***

No. 9
The following is a meta-GGA SCAN calculation of a PBEsol-optimized structure of CuAu2Cl, from the Alexandria database.

Cell lengths 3.783, 3.783, 4.731 Å; angles 90.00, 90.00, 90.00 degrees
Fractional positions:
Cu 0.000 0.000 0.000
Au 0.000 0.500 0.500
Au 0.500 0.000 0.500
Cl 0.500 0.500 0.000

Calculated values
formation energy without anion corrections: 231 meV per atom
total DFT energy (no corrections): -40.14 eV/atom
ρ: 12.09 g cm⁻³

***

No. 10
The following is a meta-GGA SCAN calculation of a PBEsol-optimized structure of Cs2RbAlF6, from the Alexandria database.

Cell lengths 6.353, 6.353, 6.353 Å; angles 60.00, 60.00, 60.00 degrees
Fractional positions:
Cs 0.250 0.250 0.250
Cs 0.750 0.750 0.750
Rb 0.000 0.000 0.000
Al 0.500 0.500 0.500
F 0.296 0.296 0.704
F 0.296 0.704 0.296
F 0.296 0.704 0.704
F 0.704 0.296 0.296
F 0.704 0.296 0.704
F 0.704 0.704 0.296

Calculated values
formation energy without anion corrections: -3415 meV per atom
total DFT energy (no corrections): -15.95 eV/atom
ρ: 4.51 g cm⁻³

***

No. 11
The following is a meta-GGA SCAN calculation of a PBEsol-optimized structure of MgSc2Be, from the Alexandria database.

Cell lengths 4.954, 4.954, 5.416 Å; angles 102.51, 102.51, 38.18 degrees
Fractional positions:
Mg 0.000 0.000 0.000
Sc 0.234 0.234 0.725
Sc 0.766 0.766 0.275
Be 0.500 0.500 0.500

Calculated values
ΔE_f: 0.227 eV per atom
total DFT energy (no corrections): -9.22 eV/atom
ρ: 2.56 g cm⁻³

***

No. 12
The following is a meta-GGA SCAN calculation of a PBEsol-optimized structure of Gd3AsO7, from the Alexandria database.

Cell lengths 6.362, 6.362, 7.363 Å; angles 90.00, 90.00, 109.64 degrees
Fractional positions:
Gd 0.005 0.005 0.000
Gd 0.036 0.498 0.251
Gd 0.498 0.036 0.749
Gd 0.502 0.964 0.249
Gd 0.964 0.502 0.751
Gd 0.995 0.995 0.500
As 0.500 0.500 0.000
As 0.500 0.500 0.500
O 0.129 0.871 0.750
O 0.135 0.865 0.250
O 0.195 0.435 0.972
O 0.198 0.439 0.530
O 0.435 0.195 0.028
O 0.439 0.198 0.470
O 0.442 0.558 0.250
O 0.558 0.442 0.750
O 0.561 0.802 0.970
O 0.565 0.805 0.528
O 0.802 0.561 0.030
O 0.805 0.565 0.472
O 0.865 0.135 0.750
O 0.871 0.129 0.250

Calculated values
formation energy without anion corrections: -3062 meV per atom
total DFT energy (no corrections): -24.90 eV/atom
ρ: 7.79 g cm⁻³

***

No. 13
The following is a meta-GGA SCAN calculation of a PBEsol-optimized structure of Fe2ReRu, from the Alexandria database.

Cell lengths 8.491, 8.491, 8.491 Å; angles 17.77, 17.77, 17.77 degrees
Fractional positions:
Fe 0.249 0.249 0.249
Fe 0.751 0.751 0.751
Re 0.000 0.000 0.000
Ru 0.500 0.500 0.500

Calculated values
ΔE_f: 0.169 eV per atom
total DFT energy (no corrections): -35.38 eV/atom
ρ: 13.32 g cm⁻³

***

No. 14
The following is a meta-GGA SCAN calculation of a PBEsol-optimized structure of Sr2ErRuO6, from the Alexandria database.

Cell lengths 5.717, 5.755, 9.883 Å; angles 90.00, 125.00, 90.00 degrees
Fractional positions:
Sr 0.242 0.034 0.249
Sr 0.242 0.466 0.749
Sr 0.758 0.534 0.251
Sr 0.758 0.966 0.751
Er 0.500 0.000 0.000
Er 0.500 0.500 0.500
Ru 0.000 0.000 0.500
Ru 0.000 0.500 0.000
O 0.162 0.229 0.962
O 0.162 0.271 0.462
O 0.232 0.702 0.963
O 0.232 0.798 0.463
O 0.305 0.016 0.735
O 0.305 0.484 0.235
O 0.695 0.516 0.765
O 0.695 0.984 0.265
O 0.768 0.202 0.537
O 0.768 0.298 0.037
O 0.838 0.729 0.538
O 0.838 0.771 0.038

Calculated values
formation energy without anion corrections: -2789 meV per atom
total DFT energy (no corrections): -19.50 eV/atom
ρ: 6.73 g cm⁻³

***

No. 15
The following is a meta-GGA SCAN calculation of a PBEsol-optimized structure of Ca2TaAg, from the Alexandria database.

Cell lengths 5.517, 5.517, 5.756 Å; angles 101.75, 101.75, 32.06 degrees
Fractional positions:
Ca 0.237 0.237 0.251
Ca 0.763 0.763 0.749
Ta 0.000 0.000 0.500
Ag 0.500 0.500 0.000

Calculated values
ΔE_f: 0.707 eV per atom
total DFT energy (no corrections): -28.61 eV/atom
ρ: 6.74 g cm⁻³

***

No. 16
The following is a meta-GGA SCAN calculation of a PBEsol-optimized structure of KBeNi2Pd, from the Alexandria database.

Cell lengths 4.614, 4.614, 5.430 Å; angles 90.00, 90.00, 90.00 degrees
Fractional positions:
K 0.000 0.000 0.000
Be 0.500 0.500 0.000
Ni 0.000 0.500 0.500
Ni 0.500 0.000 0.500
Pd 0.000 0.000 0.500

Calculated values
ΔE_f: 1.449 eV per atom
total DFT energy (no corrections): -14.11 eV/atom
ρ: 3.90 g cm⁻³

***

No. 17
The following is a meta-GGA SCAN calculation of a PBEsol-optimized structure of ZrCdSb, from the Alexandria database.

Cell lengths 4.790, 4.790, 4.790 Å; angles 60.00, 60.00, 60.00 degrees
Fractional positions:
Zr 0.000 0.000 0.000
Cd 0.750 0.750 0.750
Sb 0.250 0.250 0.250

Calculated values
formation energy without anion corrections: 9 meV per atom
total DFT energy (no corrections): -32.78 eV/atom
ρ: 6.95 g cm⁻³

***

No. 18
The following is a meta-GGA SCAN calculation of a PBEsol-optimized structure of CrSb2Au, from the Alexandria database.

Cell lengths 5.208, 5.208, 5.208 Å; angles 132.20, 126.79, 74.30 degrees
Fractional positions:
Cr 0.000 0.000 0.000
Sb 0.250 0.750 0.500
Sb 0.750 0.250 0.500
Au 0.500 0.500 0.000

Calculated values
formation energy without anion corrections: 191 meV per atom
total DFT energy (no corrections): -40.32 eV/atom
ρ: 10.01 g cm⁻³

***

No. 19
The following is a meta-GGA SCAN calculation of a PBEsol-optimized structure of Tc2WF, from the Alexandria database.

Cell lengths 4.265, 4.265, 4.265 Å; angles 60.00, 60.00, 60.00 degrees
Fractional positions:
Tc 0.250 0.250 0.250
Tc 0.750 0.750 0.750
W 0.000 0.000 0.000
F 0.500 0.500 0.500

Calculated values
formation energy without anion corrections: 326 meV per atom
total DFT energy (no corrections): -35.51 eV/atom
ρ: 12.07 g cm⁻³

***

No. 20
The following is a meta-GGA SCAN calculation of a PBEsol-optimized structure of Al2Ag, from the Alexandria database.

Cell lengths 7.594, 7.594, 4.928 Å; angles 90.91, 90.91, 43.13 degrees
Fractional positions:
Al 0.051 0.781 0.928
Al 0.129 0.372 0.747
Al 0.219 0.949 0.572
Al 0.372 0.129 0.247
Al 0.628 0.871 0.753
Al 0.781 0.051 0.428
Al 0.871 0.628 0.253
Al 0.949 0.219 0.072
Ag 0.275 0.555 0.427
Ag 0.445 0.725 0.073
Ag 0.555 0.275 0.927
Ag 0.725 0.445 0.573

Calculated values
ΔE_f: -0.062 eV per atom
total DFT energy (no corrections): -15.69 eV/atom
ρ: 5.53 g cm⁻³

***

No. 21
The following is a meta-GGA SCAN calculation of a PBEsol-optimized structure of MnCu4Pt, from the Alexandria database.

Cell lengths 4.715, 4.715, 4.715 Å; angles 60.00, 60.00, 60.00 degrees
Fractional positions:
Mn 0.000 0.000 0.000
Cu 0.125 0.625 0.625
Cu 0.625 0.125 0.625
Cu 0.625 0.625 0.125
Cu 0.625 0.625 0.625
Pt 0.250 0.250 0.250

Calculated values
ΔE_f: -0.171 eV per atom
total DFT energy (no corrections): -25.05 eV/atom
ρ: 11.30 g cm⁻³

***

No. 22
The following is a meta-GGA SCAN calculation of a PBEsol-optimized structure of LiCuF2, from the Alexandria database.

Cell lengths 6.029, 6.029, 6.029 Å; angles 27.43, 27.43, 27.43 degrees
Fractional positions:
Li 0.000 0.000 0.000
Cu 0.500 0.500 0.500
F 0.395 0.395 0.395
F 0.605 0.605 0.605

Calculated values
formation energy without anion corrections: -2192 meV per atom
total DFT energy (no corrections): -8.36 eV/atom
ρ: 4.39 g cm⁻³

***

No. 23
The following is a meta-GGA SCAN calculation of a PBEsol-optimized structure of TlTe2Os, from the Alexandria database.

Cell lengths 5.170, 5.170, 3.297 Å; angles 91.62, 91.62, 91.97 degrees
Fractional positions:
Tl 0.000 0.000 0.000
Te 0.000 0.500 0.500
Te 0.500 0.000 0.500
Os 0.500 0.500 0.000

Calculated values
formation energy without anion corrections: 967 meV per atom
total DFT energy (no corrections): -53.72 eV/atom
ρ: 12.26 g cm⁻³

***

No. 24
The following is a meta-GGA SCAN calculation of a PBEsol-optimized structure of Cs2Ca2Pt, from the Alexandria database.

Cell lengths 10.909, 10.909, 10.909 Å; angles 156.90, 156.90, 32.90 degrees
Fractional positions:
Cs 0.250 0.750 0.500
Cs 0.750 0.250 0.500
Ca 0.072 0.072 0.000
Ca 0.928 0.928 0.000
Pt 0.500 0.500 0.000

Calculated values
ΔE_f: 0.572 eV per atom
total DFT energy (no corrections): -32.46 eV/atom
ρ: 4.50 g cm⁻³

***

No. 25
The following is a meta-GGA SCAN calculation of a PBEsol-optimized structure of Mn3NiN, from the Alexandria database.

Cell lengths 3.652, 3.652, 3.652 Å; angles 90.00, 90.00, 90.00 degrees
Fractional positions:
Mn 0.000 0.000 0.500
Mn 0.000 0.500 0.000
Mn 0.500 0.000 0.000
Ni 0.500 0.500 0.500
N 0.000 0.000 0.000

Calculated values
formation energy without anion corrections: 32 meV per atom
total DFT energy (no corrections): -16.01 eV/atom
ρ: 8.10 g cm⁻³

***

No. 26
The following is a meta-GGA SCAN calculation of a PBEsol-optimized structure of InNi5, from the Alexandria database.

Cell lengths 4.452, 4.452, 4.115 Å; angles 90.00, 90.00, 120.00 degrees
Fractional positions:
In 0.000 0.000 0.000
Ni 0.000 0.632 0.500
Ni 0.333 0.667 0.000
Ni 0.368 0.368 0.500
Ni 0.632 0.000 0.500
Ni 0.667 0.333 0.000

Calculated values
ΔE_f: 0.054 eV per atom
total DFT energy (no corrections): -18.99 eV/atom
ρ: 9.60 g cm⁻³

***

No. 27
The following is a meta-GGA SCAN calculation of a PBEsol-optimized structure of Y3Ni, from the Alexandria database.

Cell lengths 6.232, 6.232, 6.232 Å; angles 147.12, 130.47, 60.73 degrees
Fractional positions:
Y 0.000 0.000 0.000
Y 0.306 0.806 0.500
Y 0.694 0.194 0.500
Ni 0.500 0.500 0.000

Calculated values
ΔE_f: -0.154 eV per atom
total DFT energy (no corrections): -25.08 eV/atom
ρ: 5.46 g cm⁻³